DFT (GGA-PBE) results for a relaxed TaAsIr crystal.

Results
DOS(E_F) ... 2.8 states/eV/cell
ΔH_f (0 K) ... -280 meV/atom

POSCAR file:
```
TaAsIr
1.0
-3.2470 -2.4915 -1.5111
3.4021 -1.8388 2.0195
-1.3685 0.2482 2.5313
As Ir Ta
1 1 1
Cartesian
-0.2267 0.0411 0.4194
-1.2598 -2.2323 0.0897
0.2732 -1.8908 2.5306
```

---

DFT (GGA-PBE) results for a relaxed LaAlCl2 crystal.

Results
Formation energy from raw total energies ... -4.37 eV/f.u.
DOS(E_F) ... 1.3 states/eV/cell
ΔE to the lowest computed polymorph ... 73.7 meV/atom

POSCAR file:
```
LaAlCl2
1.0
6.5855 0.0083 -0.0007
3.9752 5.2503 0.0007
-5.0882 -3.0153 2.8960
Cl Al La
2 1 1
Cartesian
0.1145 0.0570 0.0000
2.3890 2.5842 1.4484
3.2642 -0.2509 1.4477
4.9852 2.4823 0.0000
```

---

DFT (GGA-PBE) results for a relaxed Ba2CeO3 crystal.

Results
Formation energy from raw total energies ... -15.24 eV/f.u.
DOS(E_F) ... 4.7 states/eV/cell

POSCAR file:
```
Ba2CeO3
1.0
-1.3378 1.7920 -3.5277
-1.9188 -3.8906 -1.2487
-4.3442 2.9570 5.6222
Ba Ce O
2 1 3
Cartesian
-3.4539 -0.4662 -1.3997
-4.1469 1.3246 2.2455
0.0000 0.0000 0.0000
-0.9594 -1.9453 -0.6244
-5.6672 0.2408 -0.2013
-1.9337 0.6176 1.0470
```